{
  "formula": "ZnCd2Br",
  "functional": "PBE-GGA",
  "state": "relaxed",
  "e_above_lowest_polymorph_mev_per_atom": 107,
  "dos_ef_per_ev_atom": 0.2091,
  "formation_energy_uncorrected_mev_per_atom": -39,
  "lattice_angstrom": [[5.752, -0.054, 0.026], [1.195, 5.626, -0.026], [-2.438, -4.077, 3.243]],
  "species": ["Br", "Cd", "Cd", "Zn"],
  "fractional_positions": [[0.271, 0.771, 0.500], [0.991, 0.991, 0.000], [0.734, 0.234, 0.500], [0.504, 0.504, 0.000]]
}